# NbB2PdPt (GGA-PBEsol, relaxed)
# DFT formation energy: 0.958 eV per atom
# total magnetic moment: 0.00 μB per formula unit
# space-group type: P4/mmm
# uncorrected energy: -6.60 eV per atom
# theoretical density: 8.40 g/cm3
data_NbB2PdPt
_chemical_formula_sum 'Nb1 B2 Pd1 Pt1'
_cell_length_a 3.945
_cell_length_b 3.945
_cell_length_c 5.284
_cell_angle_alpha 90.00
_cell_angle_beta 90.00
_cell_angle_gamma 90.00
_space_group_name_H-M_alt 'P 1'
_space_group_IT_number 1
loop_
_space_group_symop_operation_xyz
'x,y,z'
loop_
_atom_site_label
_atom_site_type_symbol
_atom_site_fract_x
_atom_site_fract_y
_atom_site_fract_z
_atom_site_occupancy
Nb1 Nb 0.000 0.000 0.500 1
B1 B 0.000 0.500 0.000 1
B2 B 0.500 0.000 0.000 1
Pd1 Pd 0.500 0.500 0.500 1
Pt1 Pt 0.000 0.000 0.000 1